KIn4Pb4: relaxed, PBE.

The structure belongs to space group P4_2/nmc (No. 137, origin choice 2); the cell edges are 7.294, 7.294 and 11.547 Å and the angles 90.00°, 90.00° and 90.00°. The inequivalent atoms are K at (0.250, 0.750, 0.250), In at (0.039, 0.250, 0.048) and Pb at (0.026, 0.250, 0.336).

The value obtained for the formation enthalpy at 0 K is 0.016 eV/atom. As for the total energy: -53.5 eV/cell.